VASP calculation (GGA-PBE) on a relaxed structure of NiIrC3.

Calculated values
Energy of formation from the pure elements   11.43 eV/f.u.
Raw total energy   -6.1774 eV per atom
SG   Pm-3m, No. 221
Crystal system   cubic
V   12.336 Å³/atom

abc: 3.951 3.951 3.951
angles: 90.00 90.00 90.00
Element x y z (fractional)
C1 0.000 0.500 0.000
C2 0.000 0.000 0.500
Ir1 0.000 0.000 0.000
Ni1 0.500 0.500 0.500
C3 0.500 0.000 0.000